Record 1
BeSiRh2 | SCAN | PBEsol geometry

Output
Excess energy over the best structure of this formula in the dataset (eV per atom): 0.051

a = 2.8394 Å, b = 4.0162 Å, c = 4.0162 Å
α = 90.00°, β = 90.00°, γ = 90.00°
Atoms (fractional coordinates):
Be 0.5000 0.0000 0.0000
Si 0.5000 0.5000 0.5000
Rh 0.0000 0.0000 0.5000
Rh 0.0000 0.5000 0.0000

Record 2
Te2SF | SCAN | PBEsol geometry

Output
Excess energy over the best structure of this formula in the dataset (eV per atom): 0.000

a = 3.3859 Å, b = 3.3859 Å, c = 8.7579 Å
α = 78.85°, β = 78.85°, γ = 60.00°
Atoms (fractional coordinates):
S 0.5000 0.5000 0.5000
Te 0.9122 0.9122 0.2633
Te 0.0878 0.0878 0.7367
F 0.0000 0.0000 0.0000

Asked for raw total energy across the records above, the calculation gives -21.410, -22.176 eV/atom in order.
Asked for volume across the records above, the calculation gives 11.4, 21.2 A^3/atom in order.